# NdDyCd4

A relaxed structure of NdDyCd4 (PBE-GGA, Alexandria via LeMat-Bulk).

Calculated values
polymorph energy (0 for the lowest one) = 0.053 eV per atom

Unit cell a=5.956 b=5.956 c=5.956 alpha=60.00 beta=60.00 gamma=60.00
Element x y z (fractional)
Cd  0.625  0.625  0.125
Cd  0.625  0.125  0.625
Cd  0.625  0.625  0.625
Cd  0.125  0.625  0.625
Nd  0.250  0.250  0.250
Dy  0.000  0.000  0.000

# Nd2DyCd4

A relaxed structure of Nd2DyCd4 (PBE-GGA, Alexandria via LeMat-Bulk).

Calculated values
E = -2.676 eV/atom

Unit cell a=5.300 b=5.300 c=9.184 alpha=73.23 beta=73.23 gamma=60.00
Element x y z (fractional)
Cd  0.377  0.377  0.868
Cd  0.125  0.125  0.624
Cd  0.875  0.875  0.376
Cd  0.623  0.623  0.132
Nd  0.751  0.751  0.748
Nd  0.249  0.249  0.252
Dy  0.000  0.000  0.000

# Nd5DyCd3

A relaxed structure of Nd5DyCd3 (PBE-GGA, Alexandria via LeMat-Bulk).

Calculated values
E = -3.640 eV/atom

Unit cell a=7.057 b=9.454 c=9.454 alpha=120.00 beta=90.00 gamma=90.00
Element x y z (fractional)
Cd  0.250  0.672  0.672
Cd  0.750  0.328  0.328
Cd  0.750  0.000  0.672
Cd  0.750  0.672  0.000
Cd  0.250  0.000  0.328
Cd  0.250  0.328  0.000
Nd  0.750  0.665  0.665
Nd  0.250  0.000  0.665
Nd  0.250  0.335  0.335
Nd  0.750  0.000  0.335
Nd  0.750  0.335  0.000
Nd  0.500  0.667  0.333
Nd  0.250  0.665  0.000
Nd  0.500  0.333  0.667
Nd  0.000  0.667  0.333
Nd  0.000  0.333  0.667
Dy  0.500  0.000  0.000
Dy  0.000  0.000  0.000

# NdDy2Cd

A relaxed structure of NdDy2Cd (PBE-GGA, Alexandria via LeMat-Bulk).

Calculated values
polymorph energy (0 for the lowest one) = 0.001 eV per atom

Unit cell a=3.653 b=3.653 c=8.950 alpha=90.00 beta=90.00 gamma=90.00
Element x y z (fractional)
Dy  0.000  0.000  0.220
Dy  0.000  0.000  0.780
Cd  0.500  0.500  0.000
Nd  0.500  0.500  0.500

# Nd2Dy7Cd2

A relaxed structure of Nd2Dy7Cd2 (PBE-GGA, Alexandria via LeMat-Bulk).

Calculated values
E = -3.872 eV/atom

Unit cell a=6.607 b=7.555 c=7.555 alpha=100.50 beta=74.92 gamma=74.92
Element x y z (fractional)
Cd  0.028  0.664  0.664
Cd  0.972  0.336  0.336
Dy  0.197  0.576  0.065
Dy  0.457  0.345  0.345
Dy  0.803  0.424  0.935
Dy  0.803  0.935  0.424
Dy  0.000  0.000  0.000
Dy  0.197  0.065  0.576
Dy  0.543  0.655  0.655
Nd  0.500  0.860  0.140
Nd  0.500  0.140  0.860

# Nd2DyCd

A relaxed structure of Nd2DyCd (PBE-GGA, Alexandria via LeMat-Bulk).

Calculated values
polymorph energy (0 for the lowest one) = 0.083 eV per atom

Unit cell a=3.633 b=3.633 c=11.308 alpha=80.75 beta=80.75 gamma=60.00
Element x y z (fractional)
Nd  0.254  0.254  0.237
Nd  0.746  0.746  0.763
Cd  0.000  0.000  0.000
Dy  0.500  0.500  0.500

no.,V (A^3/atom)
1,24.90
2,30.10
3,30.35
4,29.86
5,30.79
6,31.76